# 1
Material: BaY2Pd
Method: DFT, PBE-GGA
State: relaxed

Cell lengths 5.375, 5.375, 5.375 Å; angles 60.00, 60.00, 60.00 degrees
Positions (direct):
Y 0.250 0.250 0.250
Y 0.750 0.750 0.750
Ba 0.500 0.500 0.500
Pd 0.000 0.000 0.000

Results
Energy relative to the elements = 0.044 eV per atom
Total energy = -4.967 eV per atom

# 2
Material: BaY2Pd2
Method: DFT, PBE-GGA
State: relaxed

Cell lengths 8.351, 8.351, 3.864 Å; angles 90.00, 90.00, 90.00 degrees
Positions (direct):
Y 0.149 0.649 0.500
Y 0.649 0.851 0.500
Y 0.851 0.351 0.500
Y 0.351 0.149 0.500
Ba 0.000 0.000 0.000
Ba 0.500 0.500 0.000
Pd 0.372 0.872 0.000
Pd 0.872 0.628 0.000
Pd 0.628 0.128 0.000
Pd 0.128 0.372 0.000

Results
Energy relative to the elements = -0.503 eV per atom
Total energy = -5.551 eV per atom
Polymorph energy (0 for the lowest one) = 56 meV/atom

# 3
Material: BaY2Pd2
Method: DFT, PBE-GGA
State: relaxed

Cell lengths 8.730, 8.730, 3.380 Å; angles 90.00, 90.00, 90.00 degrees
Positions (direct):
Y 0.366 0.866 0.000
Y 0.866 0.634 0.000
Y 0.634 0.134 0.000
Y 0.134 0.366 0.000
Ba 0.000 0.000 0.000
Ba 0.500 0.500 0.000
Pd 0.154 0.654 0.500
Pd 0.654 0.846 0.500
Pd 0.846 0.346 0.500
Pd 0.346 0.154 0.500

Results
Energy relative to the elements = -0.463 eV per atom
Total energy = -5.510 eV per atom
Polymorph energy (0 for the lowest one) = 97 meV/atom

# 4
Material: Ba2Y2Pd
Method: DFT, PBE-GGA
State: relaxed

Cell lengths 7.522, 7.522, 6.476 Å; angles 90.00, 90.00, 90.00 degrees
Positions (direct):
Y 0.338 0.838 0.000
Y 0.838 0.662 0.000
Y 0.662 0.162 0.000
Y 0.162 0.338 0.000
Ba 0.180 0.680 0.500
Ba 0.680 0.820 0.500
Ba 0.820 0.320 0.500
Ba 0.320 0.180 0.500
Pd 0.000 0.000 0.000
Pd 0.500 0.500 0.000

Results
Energy relative to the elements = -0.057 eV per atom
Total energy = -4.451 eV per atom

# 5
Material: BaY2Pd2
Method: DFT, PBE-GGA
State: relaxed

Cell lengths 5.257, 5.257, 6.835 Å; angles 67.38, 67.38, 90.00 degrees
Last column: magnetic moment on the atom in μB.
Positions (direct):
Y 0.337 0.337 0.327  0.12
Y 0.663 0.663 0.673  0.12
Ba 0.000 0.000 0.000  0.02
Pd 0.750 0.250 0.500  0.00
Pd 0.250 0.750 0.500  0.00

Results
Energy relative to the elements = -0.416 eV per atom
Total energy = -5.464 eV per atom
Polymorph energy (0 for the lowest one) = 143 meV/atom

# 6
Material: BaY2ZrPd
Method: DFT, PBE-GGA
State: relaxed

Cell lengths 5.451, 6.023, 5.451 Å; angles 90.00, 90.00, 90.00 degrees
Positions (direct):
Y 0.000 0.000 0.500
Y 0.500 0.000 0.000
Zr 0.000 0.000 0.000
Ba 0.000 0.500 0.000
Pd 0.500 0.500 0.500

Results
Energy relative to the elements = 0.814 eV per atom
Total energy = -4.904 eV per atom

# 7
Material: Ba2ZnPd
Method: DFT, PBE-GGA
State: relaxed

Cell lengths 8.684, 8.684, 7.307 Å; angles 53.54, 53.54, 90.00 degrees
Positions (direct):
Zn 0.500 0.500 0.000
Zn 0.250 0.750 0.500
Ba 0.651 0.125 0.250
Ba 0.099 0.625 0.250
Ba 0.375 0.349 0.750
Ba 0.875 0.901 0.750
Pd 0.000 0.000 0.000
Pd 0.750 0.250 0.500

Results
Energy relative to the elements = -0.077 eV per atom
Total energy = -2.655 eV per atom

# 8
Material: BaZn3Pd2
Method: DFT, PBE-GGA
State: relaxed

Cell lengths 5.686, 6.692, 6.692 Å; angles 104.02, 90.00, 90.00 degrees
Positions (direct):
Ba 0.250 0.332 0.332
Ba 0.750 0.668 0.668
Zn 0.750 0.466 0.083
Zn 0.750 0.083 0.466
Zn 0.250 0.534 0.917
Zn 0.750 0.073 0.073
Zn 0.250 0.927 0.927
Zn 0.250 0.917 0.534
Pd 0.500 0.798 0.202
Pd 0.000 0.798 0.202
Pd 0.000 0.202 0.798
Pd 0.500 0.202 0.798

Results
Energy relative to the elements = -0.499 eV per atom
Total energy = -3.187 eV per atom

# 9
Material: Ba2ZnPd3
Method: DFT, PBE-GGA
State: relaxed

Cell lengths 4.500, 4.530, 7.940 Å; angles 90.00, 90.00, 90.00 degrees
Positions (direct):
Ba 0.000 0.500 0.985
Ba 0.000 0.000 0.515
Zn 0.500 0.500 0.331
Pd 0.500 0.000 0.838
Pd 0.500 0.000 0.180
Pd 0.500 0.500 0.650

Results
Energy relative to the elements = -0.501 eV per atom
Total energy = -3.950 eV per atom
Polymorph energy (0 for the lowest one) = 0 meV/atom

# 10
Material: BaZn2Pd
Method: DFT, PBE-GGA
State: relaxed

Cell lengths 4.477, 4.477, 6.256 Å; angles 69.03, 69.03, 60.00 degrees
Positions (direct):
Zn 0.805 0.805 0.584
Zn 0.195 0.195 0.416
Ba 0.000 0.000 0.000
Pd 0.500 0.500 0.500

Results
Energy relative to the elements = -0.429 eV per atom
Total energy = -2.844 eV per atom

# 11
Material: BaZn2Pd
Method: DFT, PBE-GGA
State: relaxed

Cell lengths 4.952, 4.952, 9.639 Å; angles 75.11, 75.11, 90.00 degrees
Positions (direct):
Zn 0.375 0.125 0.250
Zn 0.375 0.625 0.250
Zn 0.375 0.625 0.750
Zn 0.875 0.625 0.750
Ba 0.000 0.000 0.000
Ba 0.750 0.250 0.500
Pd 0.500 0.500 0.000
Pd 0.250 0.750 0.500

Results
Energy relative to the elements = -0.309 eV per atom
Total energy = -2.724 eV per atom

# 12
Material: Ba2ZnPd
Method: DFT, PBE-GGA
State: relaxed

Cell lengths 4.016, 4.016, 7.998 Å; angles 90.00, 90.00, 90.00 degrees
Positions (direct):
Zn 0.500 0.500 0.500
Ba 0.000 0.000 0.764
Ba 0.000 0.000 0.236
Pd 0.500 0.500 0.000

Results
Energy relative to the elements = -0.316 eV per atom
Total energy = -2.894 eV per atom